# BeAg2W PBE relaxed
data_BeAg2W
_chemical_formula_sum 'Be1 Ag2 W1'
_space_group_name_H-M_alt 'P m m m'
_space_group_IT_number 47
_space_group_name_Hall '-P 2 2'
_cell_length_a 2.719
_cell_length_b 4.187
_cell_length_c 5.408
_cell_angle_alpha 90.00
_cell_angle_beta 90.00
_cell_angle_gamma 90.00
loop_
_atom_site_label
_atom_site_fract_x
_atom_site_fract_y
_atom_site_fract_z
_atom_site_occupancy
Be1 0.000 0.000 0.000 1
Ag1 0.500 0.500 0.244 1
W1 0.000 0.000 0.500 1
# Crystal system ... orthorhombic
# ΔE_f ... 2.69 eV per formula unit
# Total DFT energy (no corrections) ... -4.9229 eV per atom
# V ... 15.4 A^3/atom

---

# CrBi2AsRh PBE relaxed
data_CrBi2AsRh
_chemical_formula_sum 'Cr1 Bi2 As1 Rh1'
_space_group_name_H-M_alt 'P 4/m m m'
_space_group_IT_number 123
_space_group_name_Hall '-P 4 2'
_cell_length_a 5.499
_cell_length_b 5.499
_cell_length_c 4.526
_cell_angle_alpha 90.00
_cell_angle_beta 90.00
_cell_angle_gamma 90.00
loop_
_atom_site_label
_atom_site_fract_x
_atom_site_fract_y
_atom_site_fract_z
_atom_site_occupancy
Cr1 0.000 0.000 0.000 1
Bi1 0.000 0.500 0.500 1
As1 0.000 0.000 0.500 1
Rh1 0.500 0.500 0.000 1
# Crystal system ... tetragonal
# ΔE_f ... 4.75 eV per formula unit
# Total DFT energy (no corrections) ... -4.9267 eV per atom
# V ... 27.4 A^3/atom

---

# LaYHoHg PBE relaxed
data_LaYHoHg
_chemical_formula_sum 'La4 Y4 Ho4 Hg4'
_space_group_name_H-M_alt 'F -4 3 m'
_space_group_IT_number 216
_space_group_name_Hall 'F -4 2 3'
_cell_length_a 7.800
_cell_length_b 7.800
_cell_length_c 7.800
_cell_angle_alpha 90.00
_cell_angle_beta 90.00
_cell_angle_gamma 90.00
loop_
_atom_site_label
_atom_site_fract_x
_atom_site_fract_y
_atom_site_fract_z
_atom_site_occupancy
La1 0.000 0.000 0.000 1
Y1 0.000 0.000 0.500 1
Ho1 0.250 0.250 0.250 1
Hg1 0.250 0.250 0.750 1
# Crystal system ... cubic
# ΔE_f ... -0.31 eV per formula unit
# Offset from the most stable computed form ... 15.0 kJ per mole of atoms
# Total DFT energy (no corrections) ... -4.1453 eV per atom
# V ... 29.7 A^3/atom

---

# TbInCuPt PBE relaxed
data_TbInCuPt
_chemical_formula_sum 'Tb4 In4 Cu4 Pt4'
_space_group_name_H-M_alt 'F -4 3 m'
_space_group_IT_number 216
_space_group_name_Hall 'F -4 2 3'
_cell_length_a 6.770
_cell_length_b 6.770
_cell_length_c 6.770
_cell_angle_alpha 90.00
_cell_angle_beta 90.00
_cell_angle_gamma 90.00
loop_
_atom_site_label
_atom_site_fract_x
_atom_site_fract_y
_atom_site_fract_z
_atom_site_occupancy
Tb1 0.000 0.000 0.000 1
In1 0.000 0.000 0.500 1
Cu1 0.250 0.250 0.250 1
Pt1 0.250 0.250 0.750 1
# Crystal system ... cubic
# ΔE_f ... -2.53 eV per formula unit
# Total DFT energy (no corrections) ... -5.0087 eV per atom
# V ... 19.4 A^3/atom

---

# Cs2ZnCu PBE relaxed
data_Cs2ZnCu
_chemical_formula_sum 'Cs8 Zn4 Cu4'
_space_group_name_H-M_alt 'F m -3 m'
_space_group_IT_number 225
_space_group_name_Hall '-F 4 2 3'
_cell_length_a 8.917
_cell_length_b 8.917
_cell_length_c 8.917
_cell_angle_alpha 90.00
_cell_angle_beta 90.00
_cell_angle_gamma 90.00
loop_
_atom_site_label
_atom_site_fract_x
_atom_site_fract_y
_atom_site_fract_z
_atom_site_occupancy
Cs1 0.250 0.250 0.250 1
Zn1 0.000 0.000 0.000 1
Cu1 0.000 0.000 0.500 1
# Crystal system ... cubic
# ΔE_f ... 1.46 eV per formula unit
# Offset from the most stable computed form ... 0.0 kJ per mole of atoms
# Total DFT energy (no corrections) ... -1.4045 eV per atom
# V ... 44.3 A^3/atom

---

# HfOsC2 PBE relaxed
data_HfOsC2
_chemical_formula_sum 'Hf4 Os4 C8'
_space_group_name_H-M_alt 'I -4 2 d'
_space_group_IT_number 122
_space_group_name_Hall 'I -4 2bw'
_cell_length_a 4.676
_cell_length_b 4.676
_cell_length_c 10.134
_cell_angle_alpha 90.00
_cell_angle_beta 90.00
_cell_angle_gamma 90.00
loop_
_atom_site_label
_atom_site_fract_x
_atom_site_fract_y
_atom_site_fract_z
_atom_site_occupancy
Hf1 0.000 0.000 0.000 1
Os1 0.000 0.000 0.500 1
C1 0.206 0.250 0.625 1
# Crystal system ... tetragonal
# ΔE_f ... 0.89 eV per formula unit
# Offset from the most stable computed form ... 0.0 kJ per mole of atoms
# Total DFT energy (no corrections) ... -9.6850 eV per atom
# V ... 13.9 A^3/atom

---

# LaScTcO2 PBE relaxed
data_LaScTcO2
_chemical_formula_sum 'La1 Sc1 Tc1 O2'
_space_group_name_H-M_alt 'P 4/m m m'
_space_group_IT_number 123
_space_group_name_Hall '-P 4 2'
_cell_length_a 4.135
_cell_length_b 4.135
_cell_length_c 5.190
_cell_angle_alpha 90.00
_cell_angle_beta 90.00
_cell_angle_gamma 90.00
loop_
_atom_site_label
_atom_site_fract_x
_atom_site_fract_y
_atom_site_fract_z
_atom_site_occupancy
La1 0.000 0.000 0.000 1
Sc1 0.500 0.500 0.000 1
Tc1 0.000 0.000 0.500 1
O1 0.000 0.500 0.500 1
# Crystal system ... tetragonal
# Formation energy (no corrections) ... -0.72 eV/f.u.
# Total DFT energy (no corrections) ... -6.4515 eV per atom
# V ... 17.7 A^3/atom

---

# Ca2ZnTcN PBE relaxed
data_Ca2ZnTcN
_chemical_formula_sum 'Ca2 Zn1 Tc1 N1'
_space_group_name_H-M_alt 'P 4/m m m'
_space_group_IT_number 123
_space_group_name_Hall '-P 4 2'
_cell_length_a 5.011
_cell_length_b 5.011
_cell_length_c 3.877
_cell_angle_alpha 90.00
_cell_angle_beta 90.00
_cell_angle_gamma 90.00
loop_
_atom_site_label
_atom_site_fract_x
_atom_site_fract_y
_atom_site_fract_z
_atom_site_occupancy
Ca1 0.000 0.500 0.000 1
Zn1 0.000 0.000 0.500 1
Tc1 0.500 0.500 0.500 1
N1 0.500 0.500 0.000 1
# Crystal system ... tetragonal
# Formation energy (no corrections) ... -1.71 eV/f.u.
# Total DFT energy (no corrections) ... -5.1347 eV per atom
# V ... 19.5 A^3/atom

---

# ZrOs2Rh PBE relaxed
data_ZrOs2Rh
_chemical_formula_sum 'Zr2 Os4 Rh2'
_space_group_name_H-M_alt 'C 1 2/m 1'
_space_group_IT_number 12
_space_group_name_Hall '-C 2y'
_cell_length_a 9.340
_cell_length_b 2.840
_cell_length_c 4.880
_cell_angle_alpha 90.00
_cell_angle_beta 100.15
_cell_angle_gamma 90.00
loop_
_atom_site_label
_atom_site_fract_x
_atom_site_fract_y
_atom_site_fract_z
_atom_site_occupancy
Zr1 0.000 0.000 0.000 1
Os1 0.243 0.000 0.726 1
Rh1 0.000 0.500 0.500 1
# Crystal system ... monoclinic
# ΔE_f ... -0.36 eV per formula unit
# Offset from the most stable computed form ... 11.8 kJ per mole of atoms
# Total DFT energy (no corrections) ... -9.6795 eV per atom
# V ... 15.9 A^3/atom

---

# Dy5Er6Sc2 PBE relaxed
data_Dy5Er6Sc2
_chemical_formula_sum 'Dy10 Er12 Sc4'
_space_group_name_H-M_alt 'P b a m'
_space_group_IT_number 55
_space_group_name_Hall '-P 2 2ab'
_cell_length_a 11.170
_cell_length_b 19.986
_cell_length_c 3.527
_cell_angle_alpha 90.00
_cell_angle_beta 90.00
_cell_angle_gamma 90.00
loop_
_atom_site_label
_atom_site_fract_x
_atom_site_fract_y
_atom_site_fract_z
_atom_site_occupancy
Dy1 0.000 0.000 0.000 1
Dy2 0.062 0.422 0.000 1
Dy3 0.144 0.720 0.000 1
Er1 0.081 0.155 0.000 1
Er2 0.166 0.883 0.500 1
Er3 0.219 0.555 0.500 1
Sc1 0.115 0.286 0.500 1
# Crystal system ... orthorhombic
# ΔE_f ... 0.67 eV per formula unit
# Total DFT energy (no corrections) ... -4.7982 eV per atom
# V ... 30.3 A^3/atom

---

# LaY2Zn4 PBE relaxed
data_LaY2Zn4
_chemical_formula_sum 'La1 Y2 Zn4'
_space_group_name_H-M_alt 'P 4/m m m'
_space_group_IT_number 123
_space_group_name_Hall '-P 4 2'
_cell_length_a 5.096
_cell_length_b 5.096
_cell_length_c 6.920
_cell_angle_alpha 90.00
_cell_angle_beta 90.00
_cell_angle_gamma 90.00
loop_
_atom_site_label
_atom_site_fract_x
_atom_site_fract_y
_atom_site_fract_z
_atom_site_occupancy
La1 0.000 0.000 0.000 1
Y1 0.000 0.000 0.500 1
Y2 0.500 0.500 0.000 1
Zn1 0.000 0.500 0.278 1
# Crystal system ... tetragonal
# ΔE_f ... -0.52 eV per formula unit
# Total DFT energy (no corrections) ... -3.3525 eV per atom
# V ... 25.7 A^3/atom

---

# InSb2Te PBE relaxed
data_InSb2Te
_chemical_formula_sum 'In2 Sb4 Te2'
_space_group_name_H-M_alt 'C 1 2/m 1'
_space_group_IT_number 12
_space_group_name_Hall '-C 2y'
_cell_length_a 6.603
_cell_length_b 10.550
_cell_length_c 3.430
_cell_angle_alpha 90.00
_cell_angle_beta 111.60
_cell_angle_gamma 90.00
loop_
_atom_site_label
_atom_site_fract_x
_atom_site_fract_y
_atom_site_fract_z
_atom_site_occupancy
In1 0.000 0.000 0.000 1
Sb1 0.250 0.250 0.500 1
Te1 0.000 0.500 0.000 1
# Crystal system ... monoclinic
# Offset from the most stable computed form ... 22.2 kJ per mole of atoms
# Formation energy (no corrections) ... 0.58 eV/f.u.
# Total DFT energy (no corrections) ... -3.3871 eV per atom
# V ... 27.8 A^3/atom